TbY2Th: relaxed, PBE.

Properties
**Magnetic moment**: 0.00 μB per cell
**DOS at the Fermi energy**: 1.50 states/eV/atom
**Crystal system**: tetragonal
**Offset from the most stable computed form**: 0.020 eV per atom
**Energy relative to the elements**: 0.044 eV per atom

Lattice parameters (Å, degrees): 5.0486 5.0440 5.0440 90.00 90.00 90.00
Closest atoms and distances in Å follow each position.
Atoms (fractional coordinates):
Y: 0.0000 0.0000 0.5000  4 Y 3.57, 4 Th 3.57, 4 Tb 3.57
Y: 0.0000 0.5000 0.0000  4 Y 3.57, 4 Th 3.57, 4 Tb 3.57
Tb: 0.5000 0.5000 0.5000  4 Th 3.57, 8 Y 3.57
Th: 0.5000 0.0000 0.0000  4 Tb 3.57, 8 Y 3.57